Entry 1:
{"formula": "LiAcOsO5", "functional": "GGA-PBE", "state": "optimized geometry", "volume_a3_per_atom": 13.206, "space_group": "C2/c", "raw_formation_energy_mev_per_atom": -1994, "m_tot_mub_per_fu": 0.00, "cell": [[5.710, -0.166, 0.076], [-1.826, 5.413, 0.076], [-1.522, -2.056, 6.845]], "species": ["O", "O", "O", "O", "O", "O", "O", "O", "O", "O", "Ac", "Ac", "Li", "Li", "Os", "Os"], "fractional_positions": [[0.756, 0.641, 0.437], [0.359, 0.244, 0.063], [0.244, 0.359, 0.563], [0.291, 0.907, 0.584], [0.946, 0.054, 0.750], [0.093, 0.709, 0.916], [0.709, 0.093, 0.416], [0.907, 0.291, 0.084], [0.641, 0.756, 0.937], [0.054, 0.946, 0.250], [0.657, 0.343, 0.750], [0.343, 0.657, 0.250], [0.689, 0.311, 0.250], [0.311, 0.689, 0.750], [0.000, 0.000, 0.000], [0.000, 0.000, 0.500]]}

Entry 2:
{"formula": "Li2Ac3OsO8", "functional": "GGA-PBE", "state": "optimized geometry", "volume_a3_per_atom": 14.060, "space_group": "P-3m1", "raw_formation_energy_mev_per_atom": -2392, "m_tot_mub_per_fu": 3.00, "cell": [[5.616, 0.000, 0.000], [-2.808, 4.864, 0.000], [0.000, 0.000, 7.206]], "species": ["O", "O", "O", "O", "O", "O", "O", "O", "Li", "Li", "Ac", "Ac", "Ac", "Os"], "fractional_positions": [[0.160, 0.840, 0.330], [0.160, 0.319, 0.330], [0.681, 0.840, 0.330], [0.319, 0.160, 0.670], [0.840, 0.160, 0.670], [0.667, 0.333, 0.046], [0.333, 0.667, 0.954], [0.840, 0.681, 0.670], [0.667, 0.333, 0.797], [0.333, 0.667, 0.203], [0.333, 0.667, 0.650], [0.000, 0.000, 0.000], [0.667, 0.333, 0.350], [0.000, 0.000, 0.500]]}

Entry 3:
{"formula": "Li2AcOsO6", "functional": "GGA-PBE", "state": "optimized geometry", "volume_a3_per_atom": 12.525, "space_group": "R3", "raw_formation_energy_mev_per_atom": -1883, "m_tot_mub_per_fu": 1.05, "cell": [[-2.246, 0.397, 4.959], [5.179, -1.643, -0.529], [1.266, 4.892, -2.821]], "species": ["O", "O", "O", "O", "O", "O", "Li", "Li", "Ac", "Os"], "fractional_positions": [[0.112, 0.145, 0.706], [0.410, 0.051, 0.164], [0.821, 0.769, 0.164], [0.755, 0.608, 0.706], [0.128, 0.358, 0.164], [0.575, 0.966, 0.706], [0.571, 0.285, 0.842], [0.579, 0.789, 0.354], [0.031, 0.515, 0.532], [0.986, 0.993, 0.964]]}

Entry 4:
{"formula": "LiAcP2O6", "functional": "GGA-PBE", "state": "optimized geometry", "volume_a3_per_atom": 14.867, "space_group": "R-3", "raw_formation_energy_mev_per_atom": -2201, "m_tot_mub_per_fu": 2.00, "cell": [[5.368, 0.000, 0.000], [2.684, 4.649, 0.000], [2.684, 1.550, 5.958]], "species": ["O", "O", "O", "O", "O", "O", "Ac", "Li", "P", "P"], "fractional_positions": [[0.045, 0.483, 0.720], [0.248, 0.955, 0.280], [0.955, 0.517, 0.280], [0.752, 0.045, 0.720], [0.517, 0.248, 0.280], [0.483, 0.752, 0.720], [0.000, 0.000, 0.000], [0.500, 0.500, 0.500], [0.260, 0.260, 0.220], [0.740, 0.740, 0.780]]}

Entry 5:
{"formula": "Li2AcP2O7", "functional": "GGA-PBE", "state": "optimized geometry", "volume_a3_per_atom": 14.577, "space_group": "R32", "raw_formation_energy_mev_per_atom": -2369, "m_tot_mub_per_fu": 0.37, "cell": [[-2.698, -0.534, -4.580], [-5.099, -1.592, 0.073], [-4.698, 6.034, -1.053]], "species": ["O", "O", "O", "O", "O", "O", "O", "Li", "Li", "P", "P", "Ac"], "fractional_positions": [[0.392, 0.049, 0.709], [0.151, 0.951, 0.291], [0.049, 0.849, 0.709], [0.000, 0.000, 0.000], [0.849, 0.392, 0.709], [0.951, 0.608, 0.291], [0.608, 0.151, 0.291], [0.275, 0.275, 0.176], [0.725, 0.725, 0.824], [0.075, 0.075, 0.775], [0.925, 0.925, 0.225], [0.500, 0.500, 0.500]]}

Entry 6:
{"formula": "Li4AcPa3O12", "functional": "GGA-PBE", "state": "optimized geometry", "volume_a3_per_atom": 15.099, "space_group": "R32", "raw_formation_energy_mev_per_atom": -2819, "m_tot_mub_per_fu": 0.00, "cell": [[-2.542, -0.427, 6.610], [4.395, -5.509, -0.819], [4.032, 5.834, -0.226]], "species": ["O", "O", "O", "O", "O", "O", "O", "O", "O", "O", "O", "O", "Li", "Li", "Li", "Li", "Ac", "Pa", "Pa", "Pa"], "fractional_positions": [[0.891, 0.500, 0.109], [0.340, 0.977, 0.232], [0.232, 0.340, 0.977], [0.023, 0.660, 0.768], [0.500, 0.337, 0.663], [0.663, 0.500, 0.337], [0.977, 0.232, 0.340], [0.768, 0.023, 0.660], [0.660, 0.768, 0.023], [0.109, 0.891, 0.500], [0.337, 0.663, 0.500], [0.500, 0.109, 0.891], [0.057, 0.500, 0.943], [0.500, 0.500, 0.500], [0.500, 0.943, 0.057], [0.943, 0.057, 0.500], [0.000, 0.000, 0.000], [0.450, 0.000, 0.550], [0.000, 0.550, 0.450], [0.550, 0.450, 0.000]]}

Entry 7:
{"formula": "Li2Ac3PaO9", "functional": "GGA-PBE", "state": "optimized geometry", "volume_a3_per_atom": 14.129, "space_group": "P-3m1", "raw_formation_energy_mev_per_atom": -2755, "m_tot_mub_per_fu": 0.75, "cell": [[-3.754, 3.963, 1.638], [-0.394, -2.327, -5.188], [-4.486, -5.389, 2.758]], "species": ["O", "O", "O", "O", "O", "O", "O", "O", "O", "Ac", "Ac", "Ac", "Li", "Li", "Pa"], "fractional_positions": [[0.320, 0.160, 0.687], [0.680, 0.840, 0.313], [0.500, 0.500, 0.000], [0.840, 0.680, 0.687], [0.000, 0.500, 0.000], [0.160, 0.320, 0.313], [0.840, 0.160, 0.687], [0.500, 0.000, 0.000], [0.160, 0.840, 0.313], [0.333, 0.667, 0.751], [0.000, 0.000, 0.000], [0.667, 0.333, 0.249], [0.667, 0.333, 0.827], [0.333, 0.667, 0.173], [0.000, 0.000, 0.500]]}

Entry 8:
{"formula": "LiAcPaO5", "functional": "GGA-PBE", "state": "optimized geometry", "volume_a3_per_atom": 16.863, "space_group": "C2/c", "raw_formation_energy_mev_per_atom": -2924, "m_tot_mub_per_fu": 0.00, "cell": [[-4.311, 1.413, -4.289], [-3.034, -2.067, 5.049], [3.553, 7.114, 2.165]], "species": ["Ac", "Ac", "O", "O", "O", "O", "O", "O", "O", "O", "O", "O", "Pa", "Pa", "Li", "Li"], "fractional_positions": [[0.682, 0.318, 0.750], [0.318, 0.682, 0.250], [0.698, 0.109, 0.418], [0.109, 0.698, 0.918], [0.347, 0.276, 0.118], [0.276, 0.347, 0.618], [0.302, 0.891, 0.582], [0.069, 0.931, 0.250], [0.931, 0.069, 0.750], [0.724, 0.653, 0.382], [0.891, 0.302, 0.082], [0.653, 0.724, 0.882], [0.000, 0.000, 0.000], [0.000, 0.000, 0.500], [0.311, 0.689, 0.750], [0.689, 0.311, 0.250]]}